Below is crystalline Ru2Pt at its relaxed geometry, with properties calculated at the PBE level.

```
data_Ru2Pt
_chemical_formula_sum 'Ru2 Pt1'
_symmetry_space_group_name_H-M 'P 6/m m m'
_symmetry_Int_Tables_number 191
_symmetry_space_group_name_Hall '-P 6 2'
_cell_length_a 4.3630
_cell_length_b 4.3630
_cell_length_c 2.6961
_cell_angle_alpha 90.00
_cell_angle_beta 90.00
_cell_angle_gamma 120.00
loop_
_atom_site_label
_atom_site_type_symbol
_atom_site_fract_x
_atom_site_fract_y
_atom_site_fract_z
Ru1 Ru 0.3333 0.6667 0.0000
Pt1 Pt 0.0000 0.0000 0.5000
```

V	44.45	Å³ per cell
energy above the most stable polymorph in this dataset	275.2	meV per atom
Fermi-level density of states	3.89	states/eV/f.u.
formation energy from the elements	0.2561	eV per atom



Below is crystalline RuPt3 at its relaxed geometry, with properties calculated at the PBE level.

```
data_RuPt3
_chemical_formula_sum 'Ru1 Pt3'
_symmetry_space_group_name_H-M 'P m m m'
_symmetry_Int_Tables_number 47
_cell_length_a 2.788
_cell_length_b 3.895
_cell_length_c 5.601
_cell_angle_alpha 90.00
_cell_angle_beta 90.00
_cell_angle_gamma 90.00
loop_
_symmetry_equiv_pos_as_xyz
'x,y,z'
'-x,-y,-z'
'-x,-y,z'
'x,y,-z'
'x,-y,-z'
'-x,y,z'
'-x,y,-z'
'x,-y,z'
loop_
_atom_site_label
_atom_site_type_symbol
_atom_site_fract_x
_atom_site_fract_y
_atom_site_fract_z
Ru1 Ru 0.000 0.000 0.000
Pt1 Pt 0.000 0.000 0.500
Pt2 Pt 0.500 0.500 0.242
```

V	60.83	Å³ per cell
Fermi-level density of states	5.74	states/eV/f.u.
formation energy from the elements	0.0102	eV per atom



Below is crystalline Ru2Pt at its relaxed geometry, with properties calculated at the PBE level.

```
data_Ru2Pt
_chemical_formula_sum 'Ru4 Pt2'
_symmetry_space_group_name_H-M 'I m m m'
_symmetry_Int_Tables_number 71
_symmetry_space_group_name_Hall '-I 2 2'
_cell_length_a 2.734
_cell_length_b 3.830
_cell_length_c 8.296
_cell_angle_alpha 90.00
_cell_angle_beta 90.00
_cell_angle_gamma 90.00
loop_
_atom_site_label
_atom_site_type_symbol
_atom_site_fract_x
_atom_site_fract_y
_atom_site_fract_z
Ru1 Ru 0.000 0.000 0.176
Pt1 Pt 0.000 0.000 0.500
```

V	86.87	Å³ per cell
energy above the most stable polymorph in this dataset	23.4	meV per atom
Fermi-level density of states	2.34	states/eV/f.u.
formation energy from the elements	0.0044	eV per atom



Below is crystalline Ru2Pt at its relaxed geometry, with properties calculated at the PBE level.

```
data_Ru2Pt
_chemical_formula_sum 'Ru4 Pt2'
_symmetry_space_group_name_H-M 'I 4/m m m'
_symmetry_Int_Tables_number 139
_symmetry_space_group_name_Hall '-I 4 2'
_cell_length_a 2.727
_cell_length_b 2.727
_cell_length_c 11.693
_cell_angle_alpha 90.00
_cell_angle_beta 90.00
_cell_angle_gamma 90.00
loop_
_atom_site_label
_atom_site_type_symbol
_atom_site_fract_x
_atom_site_fract_y
_atom_site_fract_z
Ru1 Ru 0.000 0.000 0.174
Pt1 Pt 0.000 0.000 0.500
```

V	86.92	Å³ per cell
energy above the most stable polymorph in this dataset	0.0	meV per atom
Fermi-level density of states	2.57	states/eV/f.u.
formation energy from the elements	-0.0191	eV per atom



Below is crystalline Ru3Pt at its relaxed geometry, with properties calculated at the PBE level.

```
data_Ru3Pt
_chemical_formula_sum 'Ru3 Pt1'
_symmetry_space_group_name_H-M 'P 4/m m m'
_symmetry_Int_Tables_number 123
_symmetry_space_group_name_Hall '-P 4 2'
_cell_length_a 2.716
_cell_length_b 2.716
_cell_length_c 7.775
_cell_angle_alpha 90.00
_cell_angle_beta 90.00
_cell_angle_gamma 90.00
loop_
_atom_site_label
_atom_site_type_symbol
_atom_site_fract_x
_atom_site_fract_y
_atom_site_fract_z
Ru1 Ru 0.000 0.000 0.000
Ru2 Ru 0.500 0.500 0.241
Pt1 Pt 0.000 0.000 0.500
```

V	57.36	Å³ per cell
Fermi-level density of states	5.78	states/eV/f.u.
formation energy from the elements	0.0583	eV per atom



Below is crystalline RuPt3 at its relaxed geometry, with properties calculated at the PBE level.

```
data_RuPt3
_chemical_formula_sum 'Ru4 Pt12'
_symmetry_space_group_name_H-M 'F m -3 m'
_symmetry_Int_Tables_number 225
_symmetry_space_group_name_Hall '-F 4 2 3'
_cell_length_a 6.300
_cell_length_b 6.300
_cell_length_c 6.300
_cell_angle_alpha 90.00
_cell_angle_beta 90.00
_cell_angle_gamma 90.00
loop_
_atom_site_label
_atom_site_type_symbol
_atom_site_fract_x
_atom_site_fract_y
_atom_site_fract_z
Ru1 Ru 0.000 0.000 0.000
Pt1 Pt 0.000 0.000 0.500
Pt2 Pt 0.250 0.250 0.250
```

V	250.05	Å³ per cell
Fermi-level density of states	4.13	states/eV/f.u.
formation energy from the elements	0.2324	eV per atom



Below is crystalline Ru2Pt at its relaxed geometry, with properties calculated at the PBE level.

```
data_Ru2Pt
_chemical_formula_sum 'Ru8 Pt4'
_symmetry_space_group_name_H-M 'P a -3'
_symmetry_Int_Tables_number 205
_symmetry_space_group_name_Hall '-P 2ac 2ab 3'
_cell_length_a 6.020
_cell_length_b 6.020
_cell_length_c 6.020
_cell_angle_alpha 90.00
_cell_angle_beta 90.00
_cell_angle_gamma 90.00
loop_
_atom_site_label
_atom_site_type_symbol
_atom_site_fract_x
_atom_site_fract_y
_atom_site_fract_z
Ru1 Ru 0.108 0.108 0.108
Pt1 Pt 0.000 0.000 0.500
```

V	218.12	Å³ per cell
energy above the most stable polymorph in this dataset	947.7	meV per atom
Fermi-level density of states	4.10	states/eV/f.u.
formation energy from the elements	0.9286	eV per atom



Below is crystalline Ru3Pt at its relaxed geometry, with properties calculated at the PBE level.

```
data_Ru3Pt
_chemical_formula_sum 'Ru6 Pt2'
_symmetry_space_group_name_H-M 'P m -3 n'
_symmetry_Int_Tables_number 223
_symmetry_space_group_name_Hall '-P 4n 2 3'
_cell_length_a 4.904
_cell_length_b 4.904
_cell_length_c 4.904
_cell_angle_alpha 90.00
_cell_angle_beta 90.00
_cell_angle_gamma 90.00
loop_
_atom_site_label
_atom_site_type_symbol
_atom_site_fract_x
_atom_site_fract_y
_atom_site_fract_z
Ru1 Ru 0.000 0.250 0.500
Pt1 Pt 0.000 0.000 0.000
```

V	117.94	Å³ per cell
Fermi-level density of states	4.65	states/eV/f.u.
formation energy from the elements	0.3512	eV per atom



Below is crystalline RuPt3 at its relaxed geometry, with properties calculated at the PBE level.

```
data_RuPt3
_chemical_formula_sum 'Ru2 Pt6'
_symmetry_space_group_name_H-M 'P m -3 n'
_symmetry_Int_Tables_number 223
_symmetry_space_group_name_Hall '-P 4n 2 3'
_cell_length_a 5.034
_cell_length_b 5.034
_cell_length_c 5.034
_cell_angle_alpha 90.00
_cell_angle_beta 90.00
_cell_angle_gamma 90.00
loop_
_atom_site_label
_atom_site_type_symbol
_atom_site_fract_x
_atom_site_fract_y
_atom_site_fract_z
Ru1 Ru 0.000 0.000 0.000
Pt1 Pt 0.000 0.250 0.500
```

V	127.54	Å³ per cell
Fermi-level density of states	4.35	states/eV/f.u.
formation energy from the elements	0.2816	eV per atom



Below is crystalline Ru3Pt at its relaxed geometry, with properties calculated at the PBE level.

```
data_Ru3Pt
_chemical_formula_sum 'Ru6 Pt2'
_symmetry_space_group_name_H-M 'P m m n'
_symmetry_Int_Tables_number 59
_cell_length_a 4.368
_cell_length_b 5.481
_cell_length_c 4.776
_cell_angle_alpha 90.00
_cell_angle_beta 90.00
_cell_angle_gamma 90.00
loop_
_symmetry_equiv_pos_as_xyz
'x,y,z'
'-x,-y,-z'
'-x+1/2,-y+1/2,z'
'x+1/2,y+1/2,-z'
'x+1/2,-y,-z'
'-x+1/2,y,z'
'-x,y+1/2,-z'
'x,-y+1/2,z'
loop_
_atom_site_label
_atom_site_type_symbol
_atom_site_fract_x
_atom_site_fract_y
_atom_site_fract_z
Ru1 Ru 0.250 0.003 0.164
Ru2 Ru 0.250 0.250 0.671
Pt1 Pt 0.250 0.750 0.662
```

V	114.33	Å³ per cell
Fermi-level density of states	4.34	states/eV/f.u.
formation energy from the elements	0.0183	eV per atom



Below is crystalline RuPt5 at its relaxed geometry, with properties calculated at the PBE level.

```
data_RuPt5
_chemical_formula_sum 'Ru2 Pt10'
_symmetry_space_group_name_H-M 'A m m 2'
_symmetry_Int_Tables_number 38
_cell_length_a 4.669
_cell_length_b 2.756
_cell_length_c 14.414
_cell_angle_alpha 90.00
_cell_angle_beta 90.00
_cell_angle_gamma 90.00
loop_
_symmetry_equiv_pos_as_xyz
'x,y,z'
'-x,-y,z'
'-x,y,z'
'x,-y,z'
'x,y+1/2,z+1/2'
'-x,-y+1/2,z+1/2'
'-x,y+1/2,z+1/2'
'x,-y+1/2,z+1/2'
loop_
_atom_site_label
_atom_site_type_symbol
_atom_site_fract_x
_atom_site_fract_y
_atom_site_fract_z
Ru1 Ru 0.000 0.000 0.000
Pt1 Pt 0.000 0.000 0.336
Pt2 Pt 0.000 0.000 0.662
Pt3 Pt 0.500 0.000 0.223
Pt4 Pt 0.500 0.000 0.555
Pt5 Pt 0.500 0.000 0.890
```

V	185.51	Å³ per cell
Fermi-level density of states	10.84	states/eV/f.u.
formation energy from the elements	0.0645	eV per atom



Below is crystalline RuPt3S at its relaxed geometry, with properties calculated at the PBE level.

```
data_RuPt3S
_chemical_formula_sum 'Ru1 Pt3 S1'
_symmetry_space_group_name_H-M 'P m -3 m'
_symmetry_Int_Tables_number 221
_symmetry_space_group_name_Hall '-P 4 2 3'
_cell_length_a 4.476
_cell_length_b 4.476
_cell_length_c 4.476
_cell_angle_alpha 90.00
_cell_angle_beta 90.00
_cell_angle_gamma 90.00
loop_
_atom_site_label
_atom_site_type_symbol
_atom_site_fract_x
_atom_site_fract_y
_atom_site_fract_z
Ru1 Ru 0.000 0.000 0.000
Pt1 Pt 0.000 0.500 0.500
S1 S 0.500 0.500 0.500
```

V	89.67	Å³ per cell
energy above the most stable polymorph in this dataset	0.0	meV per atom
Fermi-level density of states	8.63	states/eV/f.u.
formation energy (no corrections)	0.7364	eV/atom



| no. | total energy (eV/atom) |
| --- | --- |
| 1 | -7.941 |
| 2 | -6.839 |
| 3 | -8.193 |
| 4 | -8.217 |
| 5 | -8.409 |
| 6 | -6.617 |
| 7 | -7.269 |
| 8 | -8.116 |
| 9 | -6.568 |
| 10 | -8.449 |
| 11 | -6.515 |
| 12 | -5.569 |